No. 1
The following is a GGA-PBEsol calculation of a relaxed structure of MgAlPd2, from Alexandria.

CIF file:
```
data_MgAlPd2
_space_group_name_H-M_alt 'F m -3 m'
_space_group_IT_number 225
_space_group_name_Hall '-F 4 2 3'
_cell_length_a 6.172
_cell_length_b 6.172
_cell_length_c 6.172
_cell_angle_alpha 90.00
_cell_angle_beta 90.00
_cell_angle_gamma 90.00
loop_
_atom_site_label
_atom_site_type_symbol
_atom_site_fract_x
_atom_site_fract_y
_atom_site_fract_z
_atom_site_occupancy
Mg1 Mg 0.000 0.000 0.000 1
Al1 Al 0.000 0.000 0.500 1
Pd1 Pd 0.250 0.250 0.250 1
```

ΔE_f, eV/atom: -0.824

---

No. 2
The following is a GGA-PBEsol calculation of a relaxed structure of Mg16Al12Pd, from Alexandria.

CIF file:
```
data_Mg16Al12Pd
_space_group_name_H-M_alt 'C 1 m 1'
_space_group_IT_number 8
_space_group_name_Hall 'C -2y'
_cell_length_a 10.406
_cell_length_b 14.564
_cell_length_c 8.996
_cell_angle_alpha 90.00
_cell_angle_beta 124.70
_cell_angle_gamma 90.00
loop_
_atom_site_label
_atom_site_type_symbol
_atom_site_fract_x
_atom_site_fract_y
_atom_site_fract_z
_atom_site_occupancy
Mg1 Mg 0.000 0.000 0.000 1
Mg2 Mg 0.009 0.309 0.305 1
Mg3 Mg 0.038 0.373 0.008 1
Mg4 Mg 0.193 0.202 0.673 1
Mg5 Mg 0.303 0.000 0.699 1
Mg6 Mg 0.318 0.325 0.998 1
Mg7 Mg 0.337 0.341 0.395 1
Mg8 Mg 0.376 0.000 0.329 1
Mg9 Mg 0.436 0.154 0.593 1
Mg10 Mg 0.487 0.500 0.643 1
Al1 Al 0.088 0.094 0.357 1
Al2 Al 0.133 0.500 0.820 1
Al3 Al 0.176 0.186 0.175 1
Al4 Al 0.219 0.407 0.626 1
Al5 Al 0.258 0.092 0.979 1
Al6 Al 0.310 0.500 0.186 1
Al7 Al 0.488 0.311 0.808 1
Pd1 Pd 0.168 0.500 0.347 1
```

ΔE_f, eV/atom: -0.073

---

No. 3
The following is a GGA-PBEsol calculation of a relaxed structure of Mg17Al11Pd, from Alexandria.

CIF file:
```
data_Mg17Al11Pd
_space_group_name_H-M_alt 'C 1 m 1'
_space_group_IT_number 8
_space_group_name_Hall 'C -2y'
_cell_length_a 10.427
_cell_length_b 14.702
_cell_length_c 8.968
_cell_angle_alpha 90.00
_cell_angle_beta 125.15
_cell_angle_gamma 90.00
loop_
_atom_site_label
_atom_site_type_symbol
_atom_site_fract_x
_atom_site_fract_y
_atom_site_fract_z
_atom_site_occupancy
Mg1 Mg 0.000 0.000 0.000 1
Mg2 Mg 0.000 0.000 0.353 1
Mg3 Mg 0.057 0.342 0.404 1
Mg4 Mg 0.150 0.500 0.658 1
Mg5 Mg 0.158 0.155 0.612 1
Mg6 Mg 0.171 0.170 0.999 1
Mg7 Mg 0.183 0.500 0.294 1
Mg8 Mg 0.299 0.300 0.319 1
Mg9 Mg 0.389 0.000 0.720 1
Mg10 Mg 0.454 0.139 0.002 1
Mg11 Mg 0.482 0.199 0.688 1
Al1 Al 0.001 0.183 0.189 1
Al2 Al 0.222 0.410 0.005 1
Al3 Al 0.274 0.092 0.369 1
Al4 Al 0.315 0.317 0.816 1
Al5 Al 0.360 0.000 0.171 1
Al6 Al 0.413 0.409 0.641 1
Pd1 Pd 0.180 0.000 0.823 1
```

ΔE_f, eV/atom: -0.079

---

No. 4
The following is a GGA-PBEsol calculation of a relaxed structure of Pm2MgAl, from Alexandria.

CIF file:
```
data_Pm2MgAl
_space_group_name_H-M_alt 'F m -3 m'
_space_group_IT_number 225
_space_group_name_Hall '-F 4 2 3'
_cell_length_a 7.435
_cell_length_b 7.435
_cell_length_c 7.435
_cell_angle_alpha 90.00
_cell_angle_beta 90.00
_cell_angle_gamma 90.00
loop_
_atom_site_label
_atom_site_type_symbol
_atom_site_fract_x
_atom_site_fract_y
_atom_site_fract_z
_atom_site_occupancy
Pm1 Pm 0.250 0.250 0.250 1
Mg1 Mg 0.000 0.000 0.000 1
Al1 Al 0.000 0.000 0.500 1
```

ΔE_f, eV/atom: -0.259

---

No. 5
The following is a GGA-PBEsol calculation of a relaxed structure of Pr3MgAl2, from Alexandria.

CIF file:
```
data_Pr3MgAl2
_space_group_name_H-M_alt 'P 4/m m m'
_space_group_IT_number 123
_space_group_name_Hall '-P 4 2'
_cell_length_a 3.675
_cell_length_b 3.675
_cell_length_c 11.793
_cell_angle_alpha 90.00
_cell_angle_beta 90.00
_cell_angle_gamma 90.00
loop_
_atom_site_label
_atom_site_type_symbol
_atom_site_fract_x
_atom_site_fract_y
_atom_site_fract_z
_atom_site_occupancy
Pr1 Pr 0.000 0.000 0.000 1
Pr2 Pr 0.000 0.000 0.320 1
Mg1 Mg 0.500 0.500 0.500 1
Al1 Al 0.500 0.500 0.164 1
```

ΔE_f, eV/atom: -0.255

---

No. 6
The following is a GGA-PBEsol calculation of a relaxed structure of PrMg16Al12, from Alexandria.

CIF file:
```
data_PrMg16Al12
_space_group_name_H-M_alt 'I -4 3 m'
_space_group_IT_number 217
_space_group_name_Hall 'I -4 2 3'
_cell_length_a 10.506
_cell_length_b 10.506
_cell_length_c 10.506
_cell_angle_alpha 90.00
_cell_angle_beta 90.00
_cell_angle_gamma 90.00
loop_
_atom_site_label
_atom_site_type_symbol
_atom_site_fract_x
_atom_site_fract_y
_atom_site_fract_z
_atom_site_occupancy
Pr1 Pr 0.000 0.000 0.000 1
Mg1 Mg 0.039 0.359 0.641 1
Mg2 Mg 0.181 0.181 0.181 1
Al1 Al 0.091 0.091 0.721 1
```

ΔE_f, eV/atom: -0.068

---

No. 7
The following is a GGA-PBEsol calculation of a relaxed structure of Pr2MgAl, from Alexandria.

CIF file:
```
data_Pr2MgAl
_space_group_name_H-M_alt 'F m -3 m'
_space_group_IT_number 225
_space_group_name_Hall '-F 4 2 3'
_cell_length_a 7.535
_cell_length_b 7.535
_cell_length_c 7.535
_cell_angle_alpha 90.00
_cell_angle_beta 90.00
_cell_angle_gamma 90.00
loop_
_atom_site_label
_atom_site_type_symbol
_atom_site_fract_x
_atom_site_fract_y
_atom_site_fract_z
_atom_site_occupancy
Pr1 Pr 0.250 0.250 0.250 1
Mg1 Mg 0.000 0.000 0.000 1
Al1 Al 0.000 0.000 0.500 1
```

ΔE_f, eV/atom: -0.244

---

No. 8
The following is a GGA-PBEsol calculation of a relaxed structure of MgAlPt3, from Alexandria.

CIF file:
```
data_MgAlPt3
_space_group_name_H-M_alt 'P m -3 m'
_space_group_IT_number 221
_space_group_name_Hall '-P 4 2 3'
_cell_length_a 4.508
_cell_length_b 4.508
_cell_length_c 4.508
_cell_angle_alpha 90.00
_cell_angle_beta 90.00
_cell_angle_gamma 90.00
loop_
_atom_site_label
_atom_site_type_symbol
_atom_site_fract_x
_atom_site_fract_y
_atom_site_fract_z
_atom_site_occupancy
Mg1 Mg 0.000 0.000 0.000 1
Al1 Al 0.500 0.500 0.500 1
Pt1 Pt 0.000 0.000 0.500 1
```

ΔE_f, eV/atom: 0.744

---

no.,spin magnetization (μB/atom)
1,0.000
2,0.000
3,0.000
4,0.000
5,0.000
6,0.000
7,0.000
8,0.000